Density functional theory data (PBE) for an optimized crystal structure of PrMoP.

Summary:
Formation energy in eV per atom: -0.647
Electronic total energy in eV for the cell shown: -91.8
DOS at the Fermi energy in states/eV per atom: 0.971
SG: P4_2/m

Geometry as extended XYZ:
```
12
Lattice="4.123 0.000 0.000 0.000 7.889 0.000 0.000 0.000 7.889" Properties=species:S:1:pos:R:3 pbc="T T T"
Mo 2.061 4.676 2.782
Mo 2.061 3.213 5.107
Mo 0.000 2.782 3.213
Mo 0.000 5.107 4.676
P 2.061 6.463 4.427
P 0.000 3.462 6.463
P 0.000 4.427 1.426
P 2.061 1.426 3.462
Pr 2.061 2.233 0.527
Pr 0.000 7.362 2.233
Pr 0.000 0.527 5.656
Pr 2.061 5.656 7.362
```